Record 1
## CsGaAg (PBE)

Data for an optimized crystal structure of CsGaAg.

## Properties
E_tot   -2.225 eV per atom
DFT formation energy   0.019 eV/atom
V   230 Å³/cell
Space group   C2/m (12)

Cell: 4.5102 4.5102 12.9150 Å, 100.26 100.26 63.36°
Last column: nearest neighbours and their distance in Å.
Positions (direct):
Cs  0.2368  0.2368  0.3031  3 Ga 3.62-3.67, 1 Ag 4.00
Cs  0.7632  0.7632  0.6969  3 Ga 3.62-3.67, 1 Ag 4.00
Ga  0.4942  0.4942  0.8956  1 Ga 2.68, 4 Ag 2.72-2.95
Ga  0.5058  0.5058  0.1044  1 Ga 2.68, 4 Ag 2.72-2.95
Ag  0.1604  0.1604  0.9523  4 Ga 2.72-2.95, 3 Ag 2.88-2.97
Ag  0.8396  0.8396  0.0477  4 Ga 2.72-2.95, 3 Ag 2.88-2.97

---

Record 2
## GaFeSe3 (PBE)

Data for an optimized crystal structure of GaFeSe3.

## Properties
E_tot   -4.111 eV per atom
V   107 Å³/cell
Uncorrected formation energy   0.2772 eV per atom
Space group   Pm-3m (221)

Cell: 4.7472 4.7472 4.7472 Å, 90.00 90.00 90.00°
Last column: nearest neighbours and their distance in Å.
Positions (direct):
Ga  0.0000  0.0000  0.0000  12 Se 3.36
Fe  0.5000  0.5000  0.5000  6 Se 2.37
Se  0.0000  0.5000  0.5000  2 Fe 2.37
Se  0.5000  0.0000  0.5000  2 Fe 2.37
Se  0.5000  0.5000  0.0000  2 Fe 2.37

---

Record 3
## K4Ce3SnTe8 (PBE)

Data for an optimized crystal structure of K4Ce3SnTe8.

## Properties
E_tot   -4.394 eV per atom
V   612 Å³/cell
Uncorrected formation energy   -1.1858 eV per atom
Space group   R-3m (166)

Cell: 9.7554 9.7554 9.7554 Å, 57.03 57.03 57.03°
Last column: nearest neighbours and their distance in Å.
Positions (direct):
K  0.0000  0.0000  0.0000  6 Te 3.55
K  0.0000  0.5000  0.5000  6 Te 3.56-3.60
K  0.5000  0.0000  0.5000  6 Te 3.56-3.60
K  0.5000  0.5000  0.0000  6 Te 3.56-3.60
Ce  0.0000  0.0000  0.5000  6 Te 3.16-3.20
Ce  0.0000  0.5000  0.0000  6 Te 3.16-3.20
Ce  0.5000  0.0000  0.0000  6 Te 3.16-3.20
Sn  0.5000  0.5000  0.5000  6 Te 3.22
Te  0.2313  0.7389  0.7389  2 Ce 3.16, 1 Sn 3.22
Te  0.2377  0.2377  0.2377  3 Ce 3.20, 3 K 3.56
Te  0.2611  0.2611  0.7687  2 Ce 3.16, 1 Sn 3.22
Te  0.2611  0.7687  0.2611  2 Ce 3.16, 1 Sn 3.22
Te  0.7389  0.2313  0.7389  2 Ce 3.16, 1 Sn 3.22
Te  0.7389  0.7389  0.2313  2 Ce 3.16, 1 Sn 3.22
Te  0.7623  0.7623  0.7623  3 Ce 3.20, 3 K 3.56
Te  0.7687  0.2611  0.2611  2 Ce 3.16, 1 Sn 3.22

---

Record 4
## In2RuBr (PBE)

Data for an optimized crystal structure of In2RuBr.

## Properties
E_tot   -3.450 eV per atom
V   93 Å³/cell
Uncorrected formation energy   0.6563 eV per atom
Space group   Fm-3m (225)

Cell: 5.0776 5.0776 5.0776 Å, 60.00 60.00 60.00°
Last column: nearest neighbours and their distance in Å.
Positions (direct):
In  0.2500  0.2500  0.2500  4 Br 3.11, 4 Ru 3.11
In  0.7500  0.7500  0.7500  4 Br 3.11, 4 Ru 3.11
Ru  0.0000  0.0000  0.0000  8 In 3.11
Br  0.5000  0.5000  0.5000  8 In 3.11

---

Record 5
## IrOs2Ru2Rh2 (PBE)

Data for an optimized crystal structure of IrOs2Ru2Rh2.

## Properties
E_tot   -8.735 eV per atom
DFT formation energy   0.490 eV/atom
V   113 Å³/cell
Space group   C2/m (12)

Cell: 4.9341 4.9341 7.5562 Å, 120.86 120.86 48.21°
Last column: nearest neighbours and their distance in Å.
Positions (direct):
Ir  0.0000  0.0000  0.0000  2 Os 2.61, 6 Ru 2.66-2.84, 4 Rh 2.90
Os  0.0247  0.0247  0.6723  1 Os 2.38, 2 Ru 2.59, 1 Ir 2.61, 1 Rh 2.63
Os  0.9753  0.9753  0.3277  1 Os 2.38, 2 Ru 2.59, 1 Ir 2.61, 1 Rh 2.63
Ru  0.3439  0.3439  0.0672  2 Ru 2.45, 1 Rh 2.56, 3 Os 2.59-2.74, 2 Ir 2.66
Ru  0.6561  0.6561  0.9328  2 Ru 2.45, 1 Rh 2.56, 3 Os 2.59-2.74, 2 Ir 2.66
Rh  0.3146  0.3146  0.6689  1 Ru 2.56, 4 Os 2.63-2.75
Rh  0.6854  0.6854  0.3311  1 Ru 2.56, 4 Os 2.63-2.75

---

Record 6
## LiSm2ScTe5 (PBE)

Data for an optimized crystal structure of LiSm2ScTe5.

## Properties
E_tot   -4.968 eV per atom
V   517 Å³/cell
Uncorrected formation energy   -1.2581 eV per atom
Space group   Cmc2_1 (36)

Cell: 9.4882 9.4882 12.9752 Å, 90.00 90.00 153.72°
Last column: nearest neighbours and their distance in Å.
Positions (direct):
Li  0.0652  0.9348  0.5000  4 Te 2.60-2.76
Li  0.9348  0.0652  0.0000  4 Te 2.60-2.76
Sm  0.3718  0.6282  0.3417  8 Te 3.18-3.36
Sm  0.3934  0.6066  0.7259  8 Te 3.21-3.42
Sm  0.6066  0.3934  0.2259  8 Te 3.21-3.42
Sm  0.6282  0.3718  0.8417  8 Te 3.18-3.36
Sc  0.3054  0.6946  0.0516  6 Te 2.79-3.01
Sc  0.6946  0.3054  0.5516  6 Te 2.79-3.01
Te  0.0022  0.9978  0.8233  1 Li 2.61
Te  0.1447  0.8553  0.0389  1 Sc 2.97, 2 Sm 3.32
Te  0.1929  0.8071  0.3895  1 Li 2.76, 2 Sc 3.01
Te  0.2181  0.7819  0.7031  2 Sc 2.95, 3 Sm 3.25-3.26
Te  0.4509  0.5491  0.1098  2 Li 2.60, 1 Sc 2.79
Te  0.5491  0.4509  0.6098  2 Li 2.60, 1 Sc 2.79
Te  0.7819  0.2181  0.2031  2 Sc 2.95, 3 Sm 3.25-3.26
Te  0.8071  0.1929  0.8895  1 Li 2.76, 2 Sc 3.01
Te  0.8553  0.1447  0.5389  1 Sc 2.97, 2 Sm 3.32
Te  0.9978  0.0022  0.3233  1 Li 2.61

---

Record 7
## LiMoS2Cl (PBE)

Data for an optimized crystal structure of LiMoS2Cl.

## Properties
E_tot   -4.126 eV per atom
V   88 Å³/cell
Uncorrected formation energy   0.4435 eV per atom
Space group   P4/mmm (123)

Cell: 4.5051 4.5051 4.3512 Å, 90.00 90.00 90.00°
Last column: nearest neighbours and their distance in Å.
Positions (direct):
Li  0.0000  0.0000  0.0000  2 Cl 2.18, 4 S 2.25
Mo  0.5000  0.5000  0.5000  8 S 3.13, 4 Cl 3.19
S  0.0000  0.5000  0.0000  2 Li 2.25
S  0.5000  0.0000  0.0000  2 Li 2.25
Cl  0.0000  0.0000  0.5000  2 Li 2.18

---

Record 8
## KAg2ICl6 (PBE)

Data for an optimized crystal structure of KAg2ICl6.

## Properties
E_tot   -2.549 eV per atom
V   302 Å³/cell
Uncorrected formation energy   -0.6059 eV per atom
Space group   P1 (1)

Cell: 7.1864 7.2066 7.2087 Å, 64.68 72.62 64.74°
Last column: nearest neighbours and their distance in Å.
Positions (direct):
K  0.0000  0.0000  0.0000  5 Cl 3.13-3.37
Ag  0.3208  0.2278  0.1810  4 Cl 2.41-2.54
Ag  0.8188  0.7695  0.6807  4 Cl 2.41-2.54
I  0.4671  0.4990  0.5324  2 Cl 2.55
Cl  0.0077  0.0168  0.5562  1 Ag 2.41
Cl  0.0143  0.4972  0.9862  2 Ag 2.54
Cl  0.2122  0.5036  0.3483  1 Ag 2.49, 1 I 2.55
Cl  0.4466  0.9800  0.9934  1 Ag 2.41
Cl  0.6233  0.9992  0.3775  2 Ag 2.50
Cl  0.6494  0.4950  0.7881  1 Ag 2.49, 1 I 2.55

---

Record 9
## Sr2TaTc (PBE)

Data for an optimized crystal structure of Sr2TaTc.

## Properties
E_tot   -4.825 eV per atom
DFT formation energy   1.570 eV/atom
V   103 Å³/cell
Space group   Fm-3m (225)

Cell: 5.2648 5.2648 5.2648 Å, 60.00 60.00 60.00°
Last column: nearest neighbours and their distance in Å.
Positions (direct):
Sr  0.2500  0.2500  0.2500  4 Ta 3.22, 4 Tc 3.22
Sr  0.7500  0.7500  0.7500  4 Ta 3.22, 4 Tc 3.22
Ta  0.0000  0.0000  0.0000  8 Sr 3.22
Tc  0.5000  0.5000  0.5000  8 Sr 3.22

---

Record 10
## SrCa2F6 (PBE)

Data for an optimized crystal structure of SrCa2F6.

## Properties
E_tot   -5.813 eV per atom
V   134 Å³/cell
Uncorrected formation energy   -3.9342 eV per atom
Space group   I4/mmm (139)

Cell: 8.9390 8.9390 8.9390 Å, 154.33 154.33 36.61°
Last column: nearest neighbours and their distance in Å.
Positions (direct):
Sr  0.0000  0.0000  0.0000  8 F 2.49
Ca  0.3300  0.3300  0.0000  8 F 2.41-2.42
Ca  0.6700  0.6700  0.0000  8 F 2.41-2.42
F  0.0889  0.5889  0.5000  2 Ca 2.42, 2 Sr 2.49
F  0.2500  0.7500  0.5000  4 Ca 2.41
F  0.4111  0.9111  0.5000  2 Ca 2.42, 2 Sr 2.49
F  0.5889  0.0889  0.5000  2 Ca 2.42, 2 Sr 2.49
F  0.7500  0.2500  0.5000  4 Ca 2.41
F  0.9111  0.4111  0.5000  2 Ca 2.42, 2 Sr 2.49

---

Record 11
## Rb2NdErTe4 (PBE)

Data for an optimized crystal structure of Rb2NdErTe4.

## Properties
E_tot   -4.364 eV per atom
V   310 Å³/cell
Uncorrected formation energy   -1.3846 eV per atom
Space group   P2/m (10)

Cell: 7.9262 4.5743 8.9609 Å, 90.00 107.14 90.00°
Last column: nearest neighbours and their distance in Å.
Positions (direct):
Rb  0.0000  0.0000  0.0000  6 Te 3.71-3.72
Rb  0.5000  0.5000  0.0000  6 Te 3.64
Nd  0.0000  0.5000  0.5000  6 Te 3.19-3.20
Er  0.5000  0.0000  0.5000  6 Te 3.11-3.12
Te  0.2430  0.0000  0.7032  1 Er 3.11, 2 Nd 3.19
Te  0.2752  0.5000  0.3008  2 Er 3.12, 1 Nd 3.20
Te  0.7248  0.5000  0.6992  2 Er 3.12, 1 Nd 3.20
Te  0.7570  0.0000  0.2968  1 Er 3.11, 2 Nd 3.19

---

Record 12
## Pa2Tc5Ge3 (PBE)

Data for an optimized crystal structure of Pa2Tc5Ge3.

## Properties
E_tot   -8.688 eV per atom
DFT formation energy   -0.220 eV/atom
V   366 Å³/cell
Space group   Ibam (72)

Cell: 8.3848 8.3848 8.3848 Å, 98.20 96.29 138.39°
Last column: nearest neighbours and their distance in Å.
Positions (direct):
Pa  0.1283  0.2400  0.3683  4 Tc 2.94-3.24, 4 Ge 3.02-3.25
Pa  0.3717  0.7400  0.1118  4 Tc 2.94-3.24, 4 Ge 3.02-3.25
Pa  0.6283  0.2600  0.8882  4 Tc 2.94-3.24, 4 Ge 3.02-3.25
Pa  0.8717  0.7600  0.6317  4 Tc 2.94-3.24, 4 Ge 3.02-3.25
Tc  0.0063  0.7500  0.2563  3 Tc 2.45-2.73, 2 Ge 2.59
Tc  0.1409  0.8678  0.0087  2 Tc 2.45, 3 Ge 2.49-2.61
Tc  0.2500  0.7500  0.5000  4 Ge 2.51, 2 Tc 2.73
Tc  0.3591  0.3678  0.7269  2 Tc 2.45, 3 Ge 2.49-2.61
Tc  0.4937  0.7500  0.7437  3 Tc 2.45-2.73, 2 Ge 2.59
Tc  0.5063  0.2500  0.2563  3 Tc 2.45-2.73, 2 Ge 2.59
Tc  0.6409  0.6322  0.2731  2 Tc 2.45, 3 Ge 2.49-2.61
Tc  0.7500  0.2500  0.5000  4 Ge 2.51, 2 Tc 2.73
Tc  0.8591  0.1322  0.9913  2 Tc 2.45, 3 Ge 2.49-2.61
Tc  0.9937  0.2500  0.7437  3 Tc 2.45-2.73, 2 Ge 2.59
Ge  0.1153  0.6421  0.7574  5 Tc 2.49-2.59
Ge  0.2500  0.2500  0.0000  6 Tc 2.61-2.87
Ge  0.3847  0.1421  0.5268  5 Tc 2.49-2.59
Ge  0.6153  0.8579  0.4732  5 Tc 2.49-2.59
Ge  0.7500  0.7500  0.0000  6 Tc 2.61-2.87
Ge  0.8847  0.3579  0.2426  5 Tc 2.49-2.59

---

Record 13
## MnAsOs3 (PBE)

Data for an optimized crystal structure of MnAsOs3.

## Properties
E_tot   -7.752 eV per atom
DFT formation energy   1.750 eV/atom
V   88 Å³/cell
Space group   Pm-3m (221)

Cell: 4.4403 4.4403 4.4403 Å, 90.00 90.00 90.00°
Last column: nearest neighbours and their distance in Å.
Positions (direct):
Mn  0.0000  0.0000  0.0000  6 Os 2.22
As  0.5000  0.5000  0.5000  12 Os 3.14
Os  0.0000  0.0000  0.5000  2 Mn 2.22
Os  0.0000  0.5000  0.0000  2 Mn 2.22
Os  0.5000  0.0000  0.0000  2 Mn 2.22

---

Record 14
## Ce2SeI (PBE)

Data for an optimized crystal structure of Ce2SeI.

## Properties
E_tot   -5.519 eV per atom
V   116 Å³/cell
Uncorrected formation energy   -1.2938 eV per atom
Space group   R-3m (166)

Cell: 7.8609 7.8609 7.8609 Å, 31.31 31.31 31.31°
Last column: nearest neighbours and their distance in Å.
Positions (direct):
Ce  0.2374  0.2374  0.2374  3 Se 2.92, 3 I 3.26
Ce  0.7626  0.7626  0.7626  3 Se 2.92, 3 I 3.26
Se  0.5000  0.5000  0.5000  6 Ce 2.92
I  0.0000  0.0000  0.0000  6 Ce 3.26

---

Record 15
## BaCo2Re (PBE)

Data for an optimized crystal structure of BaCo2Re.

## Properties
E_tot   -6.418 eV per atom
DFT formation energy   0.727 eV/atom
V   84 Å³/cell
Space group   Pm (6)

Cell: 3.5121 3.7079 6.5133 Å, 90.00 97.11 90.00°
Last column: nearest neighbours and their distance in Å.
Positions (direct):
Ba  0.0000  0.0000  0.0000  5 Co 3.20-3.26, 2 Ba 3.51
Co  0.5520  0.0000  0.5415  2 Co 2.38, 2 Re 2.39
Co  0.5720  0.5000  0.3128  2 Re 2.27-2.28, 2 Co 2.38
Re  0.1207  0.5000  0.5368  4 Co 2.27-2.39

---

Record 16
## CsCo3P (PBE)

Data for an optimized crystal structure of CsCo3P.

## Properties
E_tot   -4.834 eV per atom
DFT formation energy   0.682 eV/atom
V   93 Å³/cell
Space group   Pm-3m (221)

Cell: 4.5370 4.5370 4.5370 Å, 90.00 90.00 90.00°
Last column: nearest neighbours and their distance in Å.
Positions (direct):
Cs  0.0000  0.0000  0.0000  12 Co 3.21
Co  0.0000  0.5000  0.5000  2 P 2.27
Co  0.5000  0.0000  0.5000  2 P 2.27
Co  0.5000  0.5000  0.0000  2 P 2.27
P  0.5000  0.5000  0.5000  6 Co 2.27

---

Record 17
## Zr2NiIr (PBE)

Data for an optimized crystal structure of Zr2NiIr.

## Properties
E_tot   -8.377 eV per atom
DFT formation energy   -0.442 eV/atom
V   70 Å³/cell
Space group   Cm (8)

Cell: 5.2737 5.2737 4.6509 Å, 101.57 101.57 33.78°
Last column: nearest neighbours and their distance in Å.
Positions (direct):
Zr  0.0000  0.0000  0.0000  3 Ir 2.72-2.99, 4 Ni 2.79-2.81, 1 Zr 3.03
Zr  0.2195  0.2195  0.6459  4 Ir 2.78-2.84, 3 Ni 2.79-2.90, 3 Zr 3.03-3.06
Ni  0.4713  0.4713  0.4886  7 Zr 2.79-2.90, 2 Ir 2.79, 2 Ni 3.06
Ir  0.7587  0.7587  0.1719  7 Zr 2.72-2.99, 2 Ni 2.79

---

Record 18
## KCd4As2 (PBE)

Data for an optimized crystal structure of KCd4As2.

## Properties
E_tot   -2.091 eV per atom
DFT formation energy   -0.083 eV/atom
V   196 Å³/cell
Space group   R-3m (166)

Cell: 9.1868 9.1868 9.1868 Å, 32.19 32.19 32.19°
Last column: nearest neighbours and their distance in Å.
Positions (direct):
K  0.0000  0.0000  0.0000  2 Cd 3.45, 6 As 3.84
Cd  0.1322  0.1322  0.1322  4 As 2.78-3.10, 3 Cd 3.04
Cd  0.4356  0.4356  0.4356  3 As 2.95, 3 Cd 3.04
Cd  0.5644  0.5644  0.5644  3 As 2.95, 3 Cd 3.04
Cd  0.8678  0.8678  0.8678  4 As 2.78-3.10, 3 Cd 3.04
As  0.2388  0.2388  0.2388  7 Cd 2.78-3.10
As  0.7612  0.7612  0.7612  7 Cd 2.78-3.10

---

Record 19
## Cd4Hg9Pb2 (PBE)

Data for an optimized crystal structure of Cd4Hg9Pb2.

## Properties
E_tot   -0.866 eV per atom
DFT formation energy   0.053 eV/atom
V   400 Å³/cell
Space group   P-3m1 (164)

Cell: 5.0476 5.0476 18.1120 Å, 90.00 90.00 120.00°
Last column: nearest neighbours and their distance in Å.
Positions (direct):
Cd  0.3333  0.6667  0.1221  7 Hg 2.94-3.25
Cd  0.3333  0.6667  0.3692  6 Hg 3.04-3.15
Cd  0.6667  0.3333  0.6308  6 Hg 3.04-3.15
Cd  0.6667  0.3333  0.8779  7 Hg 2.94-3.25
Hg  0.0000  0.0000  0.1450  3 Cd 2.94, 1 Hg 3.18
Hg  0.0000  0.0000  0.3206  3 Cd 3.04, 2 Hg 3.18-3.25, 3 Pb 3.31
Hg  0.0000  0.0000  0.5000  8 Hg 3.14-3.25
Hg  0.0000  0.0000  0.6794  3 Cd 3.04, 2 Hg 3.18-3.25, 3 Pb 3.31
Hg  0.0000  0.0000  0.8550  3 Cd 2.94, 1 Hg 3.18
Hg  0.3333  0.6667  0.5649  3 Hg 3.14, 3 Cd 3.15
Hg  0.3333  0.6667  0.9579  4 Cd 2.97-3.25, 3 Hg 3.29
Hg  0.6667  0.3333  0.0421  4 Cd 2.97-3.25, 3 Hg 3.29
Hg  0.6667  0.3333  0.4351  3 Hg 3.14, 3 Cd 3.15
Pb  0.3333  0.6667  0.7656  8 Hg 3.31-3.63, 3 Cd 3.55
Pb  0.6667  0.3333  0.2344  8 Hg 3.31-3.63, 3 Cd 3.55

---

Record 20
## Mg14TlPb (PBE)

Data for an optimized crystal structure of Mg14TlPb.

## Properties
E_tot   -1.789 eV per atom
DFT formation energy   -0.014 eV/atom
V   376 Å³/cell
Space group   P4/mmm (123)

Cell: 6.4391 6.4391 9.0631 Å, 90.00 90.00 90.00°
Last column: nearest neighbours and their distance in Å.
Positions (direct):
Mg  0.0000  0.0000  0.0000  12 Mg 3.17-3.22
Mg  0.0000  0.5000  0.0000  12 Mg 3.18-3.22
Mg  0.0000  0.5000  0.5000  2 Pb 3.22, 2 Tl 3.22, 8 Mg 3.24
Mg  0.2482  0.2482  0.2454  10 Mg 3.17-3.24, 1 Tl 3.23, 1 Pb 3.25
Mg  0.2482  0.2482  0.7546  10 Mg 3.17-3.24, 1 Tl 3.23, 1 Pb 3.25
Mg  0.2482  0.7518  0.2454  10 Mg 3.17-3.24, 1 Tl 3.23, 1 Pb 3.25
Mg  0.2482  0.7518  0.7546  10 Mg 3.17-3.24, 1 Tl 3.23, 1 Pb 3.25
Mg  0.5000  0.0000  0.0000  12 Mg 3.18-3.22
Mg  0.5000  0.0000  0.5000  2 Pb 3.22, 2 Tl 3.22, 8 Mg 3.24
Mg  0.5000  0.5000  0.0000  12 Mg 3.19-3.22
Mg  0.7518  0.2482  0.2454  10 Mg 3.17-3.24, 1 Tl 3.23, 1 Pb 3.25
Mg  0.7518  0.2482  0.7546  10 Mg 3.17-3.24, 1 Tl 3.23, 1 Pb 3.25
Mg  0.7518  0.7518  0.2454  10 Mg 3.17-3.24, 1 Tl 3.23, 1 Pb 3.25
Mg  0.7518  0.7518  0.7546  10 Mg 3.17-3.24, 1 Tl 3.23, 1 Pb 3.25
Tl  0.0000  0.0000  0.5000  12 Mg 3.22-3.23
Pb  0.5000  0.5000  0.5000  12 Mg 3.22-3.25